Below is BaCaTe4 after structural relaxation, with properties calculated at the PBE-GGA level.

Output
space group	No. 125
offset from the most stable computed form	0	meV per atom
final energy	-3.861	eV per atom
E_form (uncorrected)	-25.66	kcal/mol of atoms

Structure (POSCAR):
```
BaCaTe4
1.0
7.034 0.000 0.000
0.000 7.034 0.000
0.000 0.000 8.635
Ba Ca Te
2 2 8
direct
0.250 0.250 0.000
0.750 0.750 0.000
0.250 0.250 0.500
0.750 0.750 0.500
0.108 0.608 0.274
0.108 0.892 0.726
0.392 0.608 0.726
0.392 0.892 0.274
0.608 0.108 0.726
0.608 0.392 0.274
0.892 0.108 0.274
0.892 0.392 0.726
```